## LiErW2O8 (GGA+U)

Data for a geometry-optimized LiErW2O8 structure.

## Properties
Magnetization   0.00 μB/cell
E   -7.4735 eV/atom

extended XYZ file:
```
24
Lattice="5.9604 0.0000 0.0000 0.0000 5.0842 0.0809 0.0000 4.5306 10.0423" Properties=species:S:1:pos:R:3 pbc="T T T"
W 1.0181 3.5166 5.1406
W 4.9423 1.2513 0.1194
W 4.9423 6.0982 4.9827
W 1.0181 8.3635 10.0038
Er 3.9749 3.3979 7.5318
Er 1.9854 1.1326 2.5106
O 5.3067 4.4372 6.0446
O 2.1786 4.4729 1.2232
O 5.3067 7.4428 9.0998
O 2.1741 4.2171 6.3745
O 3.7863 1.9518 1.3533
O 2.1786 2.8765 3.8789
O 3.7817 5.1418 8.9000
O 5.4018 2.5981 3.9434
O 0.5586 7.0166 6.1798
O 0.6536 2.1720 1.0234
O 5.4018 4.7513 1.1587
O 3.7863 5.3977 3.7487
O 0.5586 4.8634 8.9646
O 3.7817 6.7382 6.2444
O 0.6536 5.1775 4.0787
O 2.1741 7.6629 8.7699
Li 4.3482 3.6747 2.5510
Li 1.6122 5.9400 7.5722
```